[1]
Ce2RePb: optimized geometry, PBE.

Geometry as POSCAR:
```
Ce2RePb
1.0
3.3690 0.0000 0.0000
0.0000 3.3690 0.0000
0.0000 0.0000 8.8030
Pb Re Ce
1 1 2
Direct
0.5000 0.5000 0.5000
0.5000 0.5000 0.0000
0.0000 0.0000 0.7985
0.0000 0.0000 0.2015
```

Output
* total energy: -7.152 eV/atom
* ΔE_f: -0.146 eV per atom
* excess energy over the best structure of this formula in the dataset: 0 meV/atom


[2]
Y2CdReP: optimized geometry, PBE.

Geometry as POSCAR:
```
Y2CdReP
1.0
-1.7823 3.8183 3.6421
-3.9376 -2.2153 0.3955
2.1120 -3.0067 4.1857
Y Re P Cd
2 1 1 1
Direct
0.0000 0.0000 0.5000
0.5000 0.0000 0.0000
0.5000 0.5000 0.5000
0.0000 0.5000 0.0000
0.0000 0.0000 0.0000
```

Output
* total energy: -5.005 eV/atom
* ΔE_f: 1.335 eV per atom


[3]
LaMoBr2: optimized geometry, PBE.

Geometry as POSCAR:
```
LaMoBr2
1.0
7.6197 0.1077 -0.0500
6.6339 3.7499 -0.0500
0.1046 0.0283 4.9076
Mo Br La
1 2 1
Direct
0.2500 0.2500 0.2500
0.1000 0.1000 0.9833
0.4000 0.4000 0.5167
0.7500 0.7500 0.7500
```

Output
* energy relative to the elements, uncorrected: -0.378 eV per atom
* total energy: -5.154 eV/atom
* excess energy over the best structure of this formula in the dataset: 64 meV/atom